# 1
TbPbAu | PBE-GGA | optimized geometry

POSCAR file:
```
TbPbAu
1.0
3.7078 0.0000 0.0000
0.0000 4.8345 0.0000
0.0000 -2.4173 4.1868
Pb Au Tb
1 1 1
Cartesian
0.8886 0.0000 2.7912
0.2786 0.0000 0.0000
2.5406 2.4173 1.3956
```

## Properties
Calculated total energy: -4.3994 eV/atom

***

# 2
TbPbAu | PBE-GGA | optimized geometry

POSCAR file:
```
TbPbAu
1.0
4.8460 0.0000 0.0000
2.4230 4.1968 0.0000
2.4230 1.3989 3.9568
Pb Tb Au
1 1 1
Cartesian
0.0000 0.0000 0.0000
4.8460 2.7979 1.9784
2.4230 1.3989 0.9892
```

## Properties
Calculated total energy: -4.5569 eV/atom

***

# 3
Tb3Pb5Au12 | PBE-GGA | optimized geometry

POSCAR file:
```
Tb3Pb5Au12
1.0
-9.1004 7.9974 7.9382
-7.0564 -11.4607 -5.3527
10.9585 -4.5301 8.3175
Au Pb Tb
48 20 12
Cartesian
-11.1782 -5.0183 3.9855
-5.2669 -2.4050 1.2075
-5.1970 1.2380 4.5394
-0.6207 1.0167 5.7934
-7.9832 2.1931 7.7268
-6.9302 3.8148 5.6021
1.4774 -0.9901 7.3244
-3.9353 -7.9812 2.0597
2.5055 -3.5007 10.3859
5.5751 -8.0691 5.2932
-2.5003 -5.7432 3.1482
-9.0108 -1.5467 4.0244
-5.8663 -6.0863 -1.0114
2.7849 -10.1865 3.1762
0.0663 -3.2801 6.3157
-0.0013 -9.2314 6.3636
-1.2630 -0.0122 8.8433
3.8124 -6.4467 6.8786
-3.4124 -11.4971 -1.3670
-5.5487 -10.5718 -3.0502
-0.2610 -9.7786 2.0231
5.9798 -2.9751 6.9175
2.8557 -3.1536 3.3264
0.3504 2.5784 13.9532
8.1670 -3.8195 8.5775
-1.9723 -1.2733 4.7064
1.7319 -11.8082 5.3009
-2.6980 -2.2502 7.7548
0.0686 -5.5884 9.6955
0.6601 -2.2284 1.7216
-1.7450 -4.0468 11.3039
-1.3224 -11.3193 4.2030
-8.0541 -4.8397 7.5766
-7.7038 -4.4926 0.5171
-6.6757 -7.0033 3.5786
-5.2646 -4.7133 4.5873
0.6680 -1.9071 11.9144
-5.8584 -5.7650 9.1814
-3.8759 3.3260 6.7000
-3.4534 -3.9466 -0.4009
-6.1751 -0.3548 6.7209
-3.2260 -6.7201 6.1966
-4.9373 1.7852 8.8799
-4.5777 -9.0101 5.1096
-1.7859 3.5037 12.2700
0.9768 -7.6386 4.1821
-13.3653 -4.1739 2.3255
-10.7734 0.0757 5.6098
-2.5992 -3.9967 5.4515
-2.8779 1.3013 10.8062
3.9242 -1.8312 8.5459
1.9278 -5.1297 5.1757
-1.0441 -4.4306 1.0644
-4.1542 -3.5628 9.8386
1.9511 -7.9954 1.4824
-9.1225 -6.1622 2.3571
1.8813 0.6016 12.5624
0.0000 0.0000 0.0000
0.9291 1.7337 8.1279
-3.8070 -0.4324 2.6783
-7.0797 -8.5950 -1.6594
-2.3204 -9.2946 0.0968
-3.5282 -5.7303 -2.6764
-1.3914 -7.5610 8.2247
-4.5502 3.9987 3.9691
-7.1261 -2.8637 5.7273
-8.0784 -1.7316 1.2928
5.4793 -2.2651 4.1587
-1.8559 -8.4278 4.1607
-0.1150 -2.6970 9.1922
-11.8854 -2.1640 3.9711
-6.1053 4.4326 8.3562
-3.3424 0.4344 6.7423
6.6871 -5.8294 6.9319
2.9033 -9.1274 5.9169
-5.0833 -5.2964 1.7108
-8.1017 1.1341 4.9861
-6.1506 -6.8614 6.4685
0.9070 -12.4260 2.5468
0.9523 -1.1320 4.4345
```

## Properties
Calculated total energy: -3.7136 eV/atom

***

# 4
Tb3Pb4Au3 | PBE-GGA | optimized geometry

POSCAR file:
```
Tb3Pb4Au3
1.0
8.2784 0.0000 -2.9269
-4.1392 7.1693 -2.9269
0.0000 0.0000 8.7806
Au Tb Pb
6 6 8
Cartesian
4.6566 4.4808 2.1951
0.5174 2.6885 3.6586
1.5522 6.2731 -2.1951
5.6914 0.8962 5.1220
2.0696 1.7923 -0.7317
-2.0696 5.3770 0.7317
-1.5522 6.2731 -2.1951
2.5870 0.8962 5.1220
-0.5174 2.6885 0.7317
6.2088 1.7923 2.1951
3.6218 4.4808 -0.7317
2.0696 5.3770 3.6586
-1.2741 4.9625 3.4894
0.0000 0.0000 7.0930
2.8651 2.2068 2.0259
4.9347 1.3779 -0.9009
0.7955 5.7914 0.5625
0.0000 0.0000 2.7028
4.6178 3.5847 -3.8278
0.4786 3.5847 -2.3643
```

## Properties
Calculated total energy: -4.3476 eV/atom

***

Result set for magnetic moment: 0.0 0.0 0.0 0.0 μB per formula unit, one per record in the order listed.
Result set for calculated formation energy: -0.527 -0.685 -0.126 -0.492 eV per atom, one per record in the order listed.